1.
Material: Na2CdBr
Method: DFT, PBE
State: optimized geometry

```
Na2CdBr
1.0
-4.0979 4.0979 3.9122
4.0979 -4.0979 3.9122
4.0979 4.0979 -3.9122
Na Cd Br
4 2 2
direct
0.0853 0.6250 0.9603
0.3750 0.3353 0.4603
0.6647 0.1250 0.0397
0.8750 0.9147 0.5397
0.2500 0.7500 0.5000
0.5000 0.5000 0.0000
0.0000 0.0000 0.0000
0.7500 0.2500 0.5000
```

## Properties
E: -14.96 eV for the cell shown
DOS at the Fermi energy: 0.607 states/eV/atom
Formation energy without anion corrections: -0.563 eV per atom
Energy above the lowest structure with this stoichiometry: 116.4 meV/atom
Crystal system: tetragonal

2.
Material: CuS4F
Method: DFT, PBE
State: optimized geometry

```
CuS4F
1.0
3.1588 0.0000 0.0000
0.0360 4.0734 0.0000
1.5346 0.0284 9.1872
Cu S F
1 4 1
direct
0.0000 0.0000 0.0000
0.3415 0.7017 0.3334
0.4027 0.0644 0.1997
0.5973 0.9356 0.8003
0.6585 0.2983 0.6666
0.0000 0.5000 0.0000
```

## Properties
E: -24.05 eV for the cell shown
DOS at the Fermi energy: 0.352 states/eV/atom
Formation energy without anion corrections: -0.261 eV per atom
Crystal system: triclinic

Among the records above, which one has the highest DOS at the Fermi energy? Na2CdBr

Look up the E of the first one. -14.96 eV for the cell shown